# Tl3FeAg2Cl8

An optimized crystal structure of Tl3FeAg2Cl8 (PBE, the Alexandria database).

a = 7.125 Å, b = 7.125 Å, c = 9.414 Å
α = 90.00°, β = 90.00°, γ = 120.00°
Fractional positions:
Cl (0.333, 0.667, 0.933)
Cl (0.687, 0.843, 0.347)
Cl (0.843, 0.687, 0.653)
Cl (0.667, 0.333, 0.067)
Cl (0.157, 0.313, 0.347)
Cl (0.313, 0.157, 0.653)
Cl (0.157, 0.843, 0.347)
Cl (0.843, 0.157, 0.653)
Tl (0.667, 0.333, 0.380)
Tl (0.333, 0.667, 0.620)
Tl (0.000, 0.000, 0.000)
Ag (0.333, 0.667, 0.189)
Ag (0.667, 0.333, 0.811)
Fe (0.000, 0.000, 0.500)

Calculated values
As for the calculated volume: 29.6 Å³/atom. For the total energy, the calculation gives -46.21 eV per formula unit. The density is 4.69 Mg/m³. As for the symmetry: P-3m1, No. 164.


# TlFeAg2Cl6

An optimized crystal structure of TlFeAg2Cl6 (PBE, the Alexandria database).

a = 8.206 Å, b = 9.122 Å, c = 9.122 Å
α = 84.21°, β = 70.21°, γ = 70.21°
Fractional positions:
Cl (0.009, 0.384, 0.828)
Cl (0.540, 0.542, 0.755)
Cl (0.818, 0.036, 0.183)
Cl (0.491, 0.172, 0.616)
Cl (0.318, 0.183, 0.036)
Cl (0.682, 0.817, 0.964)
Cl (0.182, 0.964, 0.817)
Cl (0.460, 0.458, 0.245)
Cl (0.960, 0.245, 0.458)
Cl (0.040, 0.755, 0.542)
Cl (0.509, 0.828, 0.384)
Cl (0.991, 0.616, 0.172)
Ag (0.693, 0.338, 0.370)
Ag (0.807, 0.630, 0.662)
Ag (0.307, 0.662, 0.630)
Ag (0.193, 0.370, 0.338)
Fe (0.750, 0.823, 0.177)
Fe (0.250, 0.177, 0.823)
Tl (0.250, 0.820, 0.180)
Tl (0.750, 0.180, 0.820)

Calculated values
As for the calculated volume: 30.2 Å³/atom. For the total energy, the calculation gives -34.65 eV per formula unit. The density is 3.78 Mg/m³. As for the symmetry: C2/c, No. 15.


# TlFe2AgCl8

An optimized crystal structure of TlFe2AgCl8 (PBE, the Alexandria database).

a = 6.478 Å, b = 6.478 Å, c = 10.023 Å
α = 71.15°, β = 71.15°, γ = 60.00°
Fractional positions:
Fe (0.749, 0.749, 0.753)
Fe (0.251, 0.251, 0.247)
Cl (0.944, 0.597, 0.176)
Cl (0.283, 0.944, 0.176)
Cl (0.172, 0.172, 0.485)
Cl (0.056, 0.403, 0.824)
Cl (0.403, 0.717, 0.824)
Cl (0.828, 0.828, 0.515)
Cl (0.717, 0.056, 0.824)
Cl (0.597, 0.283, 0.176)
Ag (0.000, 0.000, 0.000)
Tl (0.500, 0.500, 0.500)

Calculated values
As for the calculated volume: 28.2 Å³/atom. For the total energy, the calculation gives -46.30 eV per formula unit. The density is 3.48 Mg/m³. As for the symmetry: R-3, No. 148.


# TlFeAgCl6

An optimized crystal structure of TlFeAgCl6 (PBE, the Alexandria database).

a = 6.541 Å, b = 6.540 Å, c = 6.814 Å
α = 87.41°, β = 92.56°, γ = 65.08°
Fractional positions:
Cl (0.346, 0.043, 0.729)
Cl (0.615, 0.031, 0.321)
Cl (0.031, 0.615, 0.679)
Cl (0.375, 0.614, 0.292)
Cl (0.614, 0.375, 0.708)
Cl (0.043, 0.346, 0.271)
Tl (0.988, 0.987, 0.000)
Ag (0.668, 0.668, 0.500)
Fe (0.320, 0.320, 0.500)

Calculated values
As for the calculated volume: 29.3 Å³/atom. For the total energy, the calculation gives -30.71 eV per formula unit. The density is 3.66 Mg/m³. As for the symmetry: C2, No. 5.